Record 1
3
Lattice="0.000 3.570 3.570 3.570 0.000 3.570 3.570 3.570 0.000" Properties=species:S:1:pos:R:3 comment="NdTlAs | the Open Quantum Materials Database | PBE | optimized geometry" total_energy_ev_per_cell=-12.21 polymorph_energy_kj_per_mol_fu=45 spacegroup="F-43m, No. 216" pbc="T T T"
As 1.785 1.785 1.785
Nd 5.355 5.355 5.355
Tl 0.000 0.000 0.000

=====

Record 2
3
Lattice="-0.582 3.091 3.973 1.518 4.825 -0.300 -3.427 3.728 -0.172" Properties=species:S:1:pos:R:3 comment="NdTlAs | the Open Quantum Materials Database | PBE | optimized geometry" total_energy_ev_per_cell=-12.67 polymorph_energy_kj_per_mol_fu=0 spacegroup="F-43m, No. 216" pbc="T T T"
As -0.623 2.911 0.875
Nd 0.000 0.000 0.000
Tl -1.869 8.734 2.626

=====

Listing total magnetic moment for the structures above in their given order: 0.00 0.00 μB per atom.